Below is crystalline CeDy2B6 at its relaxed geometry, with properties calculated at the PBE level.

The structure in POSCAR format:
```
CeDy2B6
1.0
5.661 0.000 0.000
-2.830 4.902 0.000
0.000 0.000 3.958
Ce Dy B
1 2 6
direct
0.000 0.000 0.000
0.333 0.667 0.000
0.667 0.333 0.000
0.000 0.334 0.500
0.000 0.666 0.500
0.334 0.000 0.500
0.334 0.334 0.500
0.666 0.000 0.500
0.666 0.666 0.500
```

## Properties
The crystal system is hexagonal. The calculation puts the spin magnetization at 0.000 μB per atom. The volume is 109.8 Å³ per cell. As for the energy: -6.64 eV/atom.

=====

Below is crystalline NdYPuTl at its relaxed geometry, with properties calculated at the PBE level.

The structure in POSCAR format:
```
NdYPuTl
1.0
7.767 0.000 0.000
0.000 7.767 0.000
0.000 0.000 7.767
Nd Y Pu Tl
4 4 4 4
direct
0.000 0.000 0.000
0.000 0.500 0.500
0.500 0.000 0.500
0.500 0.500 0.000
0.000 0.000 0.500
0.000 0.500 0.000
0.500 0.000 0.000
0.500 0.500 0.500
0.250 0.250 0.750
0.250 0.750 0.250
0.750 0.250 0.250
0.750 0.750 0.750
0.250 0.250 0.250
0.250 0.750 0.750
0.750 0.250 0.750
0.750 0.750 0.250
```

## Properties
The crystal system is cubic. The calculation puts the spin magnetization at 1.714 μB per atom. The volume is 468.6 Å³ per cell. As for the energy: -6.95 eV/atom.

=====

Below is crystalline Nd6Ru2Pb at its relaxed geometry, with properties calculated at the PBE level.

The structure in POSCAR format:
```
Nd6Ru2Pb
1.0
-4.869 5.009 5.355
4.869 -5.009 5.355
4.869 5.009 -5.355
Nd Ru Pb
12 4 2
direct
0.029 0.237 0.792
0.183 0.288 0.470
0.183 0.712 0.895
0.329 0.016 0.687
0.329 0.642 0.313
0.445 0.237 0.208
0.555 0.763 0.792
0.671 0.358 0.687
0.671 0.984 0.313
0.817 0.288 0.105
0.817 0.712 0.530
0.971 0.763 0.208
0.125 0.625 0.500
0.327 0.000 0.327
0.673 0.000 0.673
0.875 0.375 0.500
0.000 0.000 0.000
0.500 0.500 0.000
```

## Properties
The crystal system is orthorhombic. The calculation puts the spin magnetization at 0.000 μB per atom. The volume is 522.4 Å³ per cell. As for the energy: -5.94 eV/atom.

=====

Below is crystalline DyTmPd6 at its relaxed geometry, with properties calculated at the PBE level.

The structure in POSCAR format:
```
DyTmPd6
1.0
4.110 0.000 0.000
0.000 4.110 0.000
0.000 0.000 8.216
Dy Tm Pd
1 1 6
direct
0.000 0.000 0.000
0.000 0.000 0.500
0.000 0.500 0.252
0.000 0.500 0.748
0.500 0.000 0.252
0.500 0.000 0.748
0.500 0.500 0.000
0.500 0.500 0.500
```

## Properties
The crystal system is tetragonal. The calculation puts the spin magnetization at 0.000 μB per atom. The volume is 138.8 Å³ per cell. As for the energy: -5.92 eV/atom.

=====

Repeat the fourth record exactly.
Below is crystalline DyTmPd6 at its relaxed geometry, with properties calculated at the PBE level.

The structure in POSCAR format:
```
DyTmPd6
1.0
4.110 0.000 0.000
0.000 4.110 0.000
0.000 0.000 8.216
Dy Tm Pd
1 1 6
direct
0.000 0.000 0.000
0.000 0.000 0.500
0.000 0.500 0.252
0.000 0.500 0.748
0.500 0.000 0.252
0.500 0.000 0.748
0.500 0.500 0.000
0.500 0.500 0.500
```

## Properties
The crystal system is tetragonal. The calculation puts the spin magnetization at 0.000 μB per atom. The volume is 138.8 Å³ per cell. As for the energy: -5.92 eV/atom.

=====

> Among the records above, which one has the lowest energy?

NdYPuTl